Computed, not measured: a relaxed structure of Nd6Ni2PtCl3 at the PBE-GGA level of DFT.

**DFT total energy**: -5.360 eV per atom
**E_form (uncorrected)**: -1.05 eV per atom
**SG**: No. 12
**V**: 326 Å³/f.u.
**D(E_F)**: 0.714 states/eV per atom
**Spin magnetization**: 0.00 μB per atom
**Theoretical density**: 6.5 g/cm3

Geometry as POSCAR:
```
Nd6Ni2PtCl3
1.0
-0.024 5.918 -3.953
-4.954 -0.968 5.017
6.047 1.718 4.642
Nd Ni Pt Cl
6 2 1 3
Direct
0.932 0.589 0.796
0.723 0.723 0.203
0.068 0.411 0.204
0.589 0.932 0.796
0.277 0.277 0.797
0.411 0.068 0.204
0.333 0.667 0.000
0.667 0.333 0.000
0.000 0.000 0.000
0.172 0.828 0.500
0.828 0.172 0.500
0.500 0.500 0.500
```